<w>
The following is a DFT calculation (PBE) of an optimized crystal structure of Be3RhI.

```
5
Lattice="4.536 0.000 0.000 0.000 4.536 0.000 0.000 0.000 4.536" Properties=species:S:1:pos:R:3 pbc="T T T"
Be 0.000 2.268 0.000
Be 2.268 0.000 0.000
Be 0.000 0.000 2.268
I 0.000 0.000 0.000
Rh 2.268 2.268 2.268
```

<x>
The following is a DFT calculation (PBE) of an optimized crystal structure of Be3RhI.

```
5
Lattice="-2.661 -2.057 -2.809 3.176 0.017 -3.020 1.428 -3.870 1.481" Properties=species:S:1:pos:R:3 pbc="T T T"
Be 0.714 -1.935 0.740
Be 1.588 0.008 -1.510
Be -1.331 -1.029 -1.405
Rh 0.000 0.000 0.000
I 0.971 -2.955 -2.175
```

Relative calculated energies, zero for the most stable structure, unit meV/atom: <w> 1353; <x> 0.